The following is a DFT calculation (PBE-GGA) of TmTc2AgO8 after structural relaxation.

Structure (POSCAR):
```
TmTc2AgO8
1.0
5.995 0.000 0.000
-2.998 5.192 0.000
0.000 0.000 6.587
O Ag Tc Tm
8 1 2 1
direct
0.168 0.832 0.706 O
0.663 0.832 0.706 O
0.667 0.333 0.944 O
0.337 0.168 0.294 O
0.832 0.663 0.294 O
0.168 0.337 0.706 O
0.832 0.168 0.294 O
0.333 0.667 0.056 O
0.000 0.000 0.000 Ag
0.667 0.333 0.208 Tc
0.333 0.667 0.792 Tc
0.000 0.000 0.500 Tm
```

DOS(E_F) (states/eV/f.u.): 5.415
E_form (uncorrected) (eV/atom): -1.62
Space group: P-3m1, No. 164
Magnetization (Bohr magnetons per cell): 2.06
Uncorrected energy (eV per atom): -7.26